Crystalline CsTb2CuTeS3 at its relaxed geometry. Source: OQMD via LeMat-Bulk, functional PBE.

The structure in extended XYZ format:
```
16
Lattice="2.067 -7.237 0.000 2.067 7.237 0.000 0.000 0.000 14.397" Properties=species:S:1:pos:R:3 pbc="T T T"
Cs 2.067 5.378 10.798
Cs 2.067 -5.378 3.599
Tb 2.067 1.930 7.923
Tb 2.067 1.930 13.673
Tb 2.067 -1.930 0.724
Tb 2.067 -1.930 6.475
Cu 2.067 4.742 3.599
Cu 2.067 -4.742 10.798
Te 2.067 0.970 10.798
Te 2.067 -0.970 3.599
S 0.000 0.000 0.000
S 0.000 0.000 7.199
S 2.067 3.633 1.476
S 2.067 3.633 5.723
S 2.067 -3.633 8.675
S 2.067 -3.633 12.921
```

As for the calculated density: 5.7 Mg/m³. The value obtained for the uncorrected energy is -41.171 eV/f.u.

Crystalline ReBi at its relaxed geometry. Source: OQMD via LeMat-Bulk, functional PBE.

The structure in extended XYZ format:
```
4
Lattice="3.306 0.000 0.000 -1.653 2.863 0.000 0.000 0.000 8.475" Properties=species:S:1:pos:R:3 pbc="T T T"
Re 0.000 1.909 2.119
Re 1.653 0.954 6.356
Bi 0.000 0.000 0.000
Bi 0.000 0.000 4.237
```

As for the calculated density: 16.4 Mg/m³. The value obtained for the uncorrected energy is -13.898 eV/f.u.

Crystalline PmDyCo at its relaxed geometry. Source: OQMD via LeMat-Bulk, functional PBE.

The structure in extended XYZ format:
```
3
Lattice="0.000 3.324 3.324 3.324 0.000 3.324 3.324 3.324 0.000" Properties=species:S:1:pos:R:3 pbc="T T T"
Pm 0.000 0.000 0.000
Dy 1.662 1.662 1.662
Co 4.986 4.986 4.986
```

The calculation puts the formation energy at 77.1 kJ/mol of atoms. As for the calculated density: 8.3 Mg/m³. The value obtained for the uncorrected energy is -14.057 eV/f.u.

Crystalline B3Mo4P at its relaxed geometry. Source: OQMD via LeMat-Bulk, functional PBE.

The structure in extended XYZ format:
```
16
Lattice="3.191 0.000 0.000 -1.595 2.763 0.000 0.000 0.000 21.779" Properties=species:S:1:pos:R:3 pbc="T T T"
B 0.000 0.000 0.000
B 0.000 0.000 10.889
B 0.000 1.842 2.550
B 0.000 1.842 8.339
B 1.595 0.921 13.439
B 1.595 0.921 19.229
Mo 0.000 0.000 3.767
Mo 0.000 0.000 7.122
Mo 0.000 0.000 14.656
Mo 0.000 0.000 18.011
Mo 0.000 1.842 12.177
Mo 0.000 1.842 20.491
Mo 1.595 0.921 1.288
Mo 1.595 0.921 9.601
P 0.000 1.842 16.334
P 1.595 0.921 5.445
```

As for the calculated density: 7.7 Mg/m³. The value obtained for the uncorrected energy is -71.389 eV/f.u.

Crystalline Tb3Ge13Os4 at its relaxed geometry. Source: OQMD via LeMat-Bulk, functional PBE.

The structure in extended XYZ format:
```
40
Lattice="9.076 0.000 0.000 0.000 9.076 0.000 0.000 0.000 9.076" Properties=species:S:1:pos:R:3 pbc="T T T"
Tb 0.000 2.269 4.538
Tb 0.000 6.807 4.538
Tb 2.269 4.538 0.000
Tb 4.538 0.000 2.269
Tb 4.538 0.000 6.807
Tb 6.807 4.538 0.000
Ge 0.000 0.000 0.000
Ge 0.000 2.701 1.315
Ge 0.000 2.701 7.761
Ge 0.000 6.375 1.315
Ge 0.000 6.375 7.761
Ge 1.315 0.000 2.701
Ge 1.315 0.000 6.375
Ge 1.837 4.538 3.223
Ge 1.837 4.538 5.853
Ge 2.701 1.315 0.000
Ge 2.701 7.761 0.000
Ge 3.223 1.837 4.538
Ge 3.223 7.239 4.538
Ge 4.538 3.223 1.837
Ge 4.538 3.223 7.239
Ge 4.538 4.538 4.538
Ge 4.538 5.853 1.837
Ge 4.538 5.853 7.239
Ge 5.853 1.837 4.538
Ge 5.853 7.239 4.538
Ge 6.375 1.315 0.000
Ge 6.375 7.761 0.000
Ge 7.239 4.538 3.223
Ge 7.239 4.538 5.853
Ge 7.761 0.000 2.701
Ge 7.761 0.000 6.375
Os 2.269 2.269 2.269
Os 2.269 2.269 6.807
Os 2.269 6.807 2.269
Os 2.269 6.807 6.807
Os 6.807 2.269 2.269
Os 6.807 2.269 6.807
Os 6.807 6.807 2.269
Os 6.807 6.807 6.807
```

As for the calculated density: 9.7 Mg/m³. The value obtained for the uncorrected energy is -125.708 eV/f.u.

Crystalline YErTa at its relaxed geometry. Source: OQMD via LeMat-Bulk, functional PBE.

The structure in extended XYZ format:
```
3
Lattice="0.000 3.528 3.528 3.528 0.000 3.528 3.528 3.528 0.000" Properties=species:S:1:pos:R:3 pbc="T T T"
Y 0.000 0.000 0.000
Er 5.292 5.292 5.292
Ta 3.528 3.528 3.528
```

The calculation puts the formation energy at 125.2 kJ/mol of atoms. As for the calculated density: 8.3 Mg/m³. The value obtained for the uncorrected energy is -18.988 eV/f.u.

- Look up the calculated density of the third one.
  8.3 Mg/m³

- Among the records above, which one has the lowest calculated density?
  CsTb2CuTeS3

- calculated density of number 2 (ReBi)?
  16.4 Mg/m³

- The highest calculated density belongs to which entry?
  ReBi